VASP calculation (PBE) on a geometry-optimized Fe3Tc5 structure. Values from VASP.

Quantum ESPRESSO input file:
```
&SYSTEM
  ibrav = 0, nat = 16, ntyp = 2
/
ATOMIC_SPECIES
Tc 98.00 Tc.upf
Fe 55.84 Fe.upf
CELL_PARAMETERS angstrom
-5.910 1.784 3.665
-4.532 -5.111 2.212
2.432 -0.380 4.107
ATOMIC_POSITIONS angstrom
Tc -2.903 -4.054 2.740
Fe -1.271 -2.214 1.944
Fe -0.626 0.455 4.599
Tc -2.265 -1.299 4.012
Tc -4.992 0.136 4.365
Tc -2.755 1.098 5.920
Fe -0.829 -3.277 4.375
Tc -6.962 -2.218 3.918
Fe -4.495 -2.348 3.841
Tc -3.481 -1.109 1.959
Fe -2.852 0.950 3.173
Tc -5.745 -2.407 5.972
Fe -3.515 -1.359 6.143
Tc -3.018 -3.842 5.619
Tc -0.723 0.307 1.852
Tc 0.803 -1.436 3.578
```

Summary:
Excess energy over the best structure of this formula in the dataset ... 0.56 eV per formula unit
Crystal system ... hexagonal
Formation energy ... 0.174 eV per atom
Magnetic moment ... 6.74 μB/cell
DOS at the Fermi energy ... 1.11 states/eV per atom